The following is a DFT calculation (GGA+U) of a geometry-optimized Fe2HgF structure.

The calculation puts the energy above the most stable polymorph in this dataset at 295 meV per atom.

Unit cell a=4.5231 b=4.5231 c=4.5231 alpha=60.00 beta=60.00 gamma=60.00
Closest atoms and distances in Å follow each position.
Sites, in units of the cell vectors:
F: 0.0000 0.0000 0.0000  8 Fe 2.77
Hg: 0.5000 0.5000 0.5000  8 Fe 2.77
Fe: 0.7500 0.7500 0.7500  4 Hg 2.77, 4 F 2.77
Fe: 0.2500 0.2500 0.2500  4 Hg 2.77, 4 F 2.77

---

The following is a DFT calculation (GGA+U) of a geometry-optimized YCoF6 structure.

The value obtained for the total energy is -5.828 eV/atom.

Unit cell a=4.8840 b=5.2309 c=5.2309 alpha=120.00 beta=90.00 gamma=90.00
Closest atoms and distances in Å follow each position.
Sites, in units of the cell vectors:
F: 0.2295 0.9580 0.3151  1 Co 1.93
F: 0.7705 0.3571 0.3151  1 Co 1.93
F: 0.2295 0.3571 0.0420  1 Co 1.93
F: 0.7705 0.9580 0.6429  1 Co 1.93
Y: 0.5000 0.0000 0.0000  6 F 2.21
F: 0.7705 0.6849 0.0420  1 Co 1.93
F: 0.2295 0.6849 0.6429  1 Co 1.93
Co: 0.0000 0.6667 0.3333  6 F 1.93